A relaxed structure of PrReH, computed with GGA-PBE.

Summary:
final energy	-0.2558	hartree per atom

a = 7.3726 Å, b = 4.2458 Å, c = 8.0695 Å
α = 90.00°, β = 107.05°, γ = 90.00°
Closest atoms and distances in Å follow each position.
Space group C2/m (No. 12)
Asymmetric unit:
Pr (0.0878, 0.0000, 0.2719) x4  3 H 2.45
Re (0.1527, 0.5000, 0.9562) x4  1 H 1.76
H (0.0793, 0.5000, 0.7276) x4  1 Re 1.76

A relaxed structure of Pr4HRh2, computed with GGA-PBE.

Summary:
final energy	-0.2102	hartree per atom

a = 4.8567 Å, b = 4.8567 Å, c = 14.6984 Å
α = 90.00°, β = 90.00°, γ = 90.00°
Closest atoms and distances in Å follow each position.
Space group I4/mmm (No. 139)
Asymmetric unit:
Pr (0.0000, 0.0000, 0.1923) x4  1 Rh 2.69, 1 H 2.83
Pr (0.0000, 0.5000, 0.0000) x4  2 H 2.43
H (0.0000, 0.0000, 0.0000) x2  4 Pr 2.43
Rh (0.0000, 0.0000, 0.3755) x4  1 Pr 2.69

Question: The highest final energy belongs to which entry?
Answer: Pr4HRh2

Question: Among the records above, which one has the lowest final energy?
Answer: PrReH

Question: Which value of final energy does entry 2 give?
Answer: -0.2102 hartree per atom